[1]
# CdHg2SF

An optimized crystal structure of CdHg2SF (GGA-PBE, Alexandria via LeMat-Bulk).

Cell lengths 5.3625, 5.2020, 5.3625 Å; angles 90.00, 90.00, 90.00 degrees
Last column: nearest neighbours and their distance in Å.
Fractional positions:
S  0.0000  0.0000  0.0000  2 Cd 2.60, 4 Hg 2.68
F  0.5000  0.5000  0.5000  8 Hg 3.74, 4 Cd 3.79
Hg  0.0000  0.0000  0.5000  2 S 2.68
Hg  0.5000  0.0000  0.0000  2 S 2.68
Cd  0.0000  0.5000  0.0000  2 S 2.60

total magnetic moment = 0.0 μB per formula unit
electronic total energy = -8.2 eV for the cell shown
space-group type = P4/mmm, No. 123
volume = 150 Å³ per cell
formation energy without anion corrections = -137 meV/atom

[2]
# LaTm2FeN4

An optimized crystal structure of LaTm2FeN4 (GGA-PBE, Alexandria via LeMat-Bulk).

Cell lengths 3.3933, 5.9493, 11.4074 Å; angles 90.00, 90.00, 106.57 degrees
Last column: nearest neighbours and their distance in Å.
Fractional positions:
La  0.1044  0.2088  0.7500  6 N 2.67-2.77
La  0.8956  0.7912  0.2500  6 N 2.67-2.77
Tm  0.3682  0.7363  0.5454  6 N 2.27-2.45
Tm  0.6318  0.2637  0.0454  6 N 2.27-2.45
Tm  0.6318  0.2637  0.4546  6 N 2.27-2.45
Tm  0.3682  0.7363  0.9546  6 N 2.27-2.45
Fe  0.8377  0.6755  0.7500  4 N 1.84-1.90
Fe  0.1623  0.3245  0.2500  4 N 1.84-1.90
N  0.2648  0.5296  0.1251  1 Fe 1.84
N  0.7352  0.4704  0.6251  1 Fe 1.84
N  0.7352  0.4704  0.8749  1 Fe 1.84
N  0.2648  0.5296  0.3749  1 Fe 1.84
N  0.0000  0.0000  0.5000  4 Tm 2.33
N  0.0000  0.0000  0.0000  4 Tm 2.33
N  0.4120  0.8241  0.7500  2 Fe 1.90
N  0.5880  0.1759  0.2500  2 Fe 1.90

total magnetic moment = 0.0 μB per formula unit
electronic total energy = -130.7 eV for the cell shown
space-group type = Cmcm, No. 63
volume = 221 Å³ per cell
formation energy without anion corrections = -1213 meV/atom

[3]
# TcTeAu2

An optimized crystal structure of TcTeAu2 (GGA-PBE, Alexandria via LeMat-Bulk).

Cell lengths 3.2628, 4.5303, 5.1275 Å; angles 90.00, 90.00, 90.00 degrees
Last column: nearest neighbours and their distance in Å.
Fractional positions:
Au  0.0000  0.0000  0.0000  4 Au 2.79, 4 Tc 3.04
Au  0.5000  0.5000  0.0000  4 Au 2.79, 4 Te 3.04
Tc  0.5000  0.0000  0.5000  4 Te 2.79, 4 Au 3.04
Te  0.0000  0.5000  0.5000  4 Tc 2.79, 4 Au 3.04

total magnetic moment = 1.2 μB per formula unit
electronic total energy = -18.1 eV for the cell shown
space-group type = Pmmm, No. 47
volume = 76 Å³ per cell
formation energy without anion corrections = 478 meV/atom

[4]
# LiPmCd4

An optimized crystal structure of LiPmCd4 (GGA-PBE, Alexandria via LeMat-Bulk).

Cell lengths 4.3639, 7.3538, 8.8349 Å; angles 90.00, 104.30, 90.00 degrees
Last column: nearest neighbours and their distance in Å.
Fractional positions:
Li  0.2313  0.7500  0.4626  7 Cd 2.66-2.77
Li  0.7687  0.2500  0.5374  7 Cd 2.66-2.77
Pm  0.1177  0.2500  0.2354  9 Cd 3.27-3.49, 2 Li 3.38
Pm  0.8823  0.7500  0.7646  9 Cd 3.27-3.49, 2 Li 3.38
Cd  0.5000  0.5000  0.0000  6 Cd 3.12-3.13
Cd  0.5000  0.0000  0.0000  6 Cd 3.12-3.13
Cd  0.6813  0.9515  0.3627  3 Li 2.66-2.77, 1 Cd 2.96
Cd  0.3187  0.0485  0.6373  3 Li 2.66-2.77, 1 Cd 2.96
Cd  0.3187  0.4515  0.6373  3 Li 2.66-2.77, 1 Cd 2.96
Cd  0.6813  0.5485  0.3627  3 Li 2.66-2.77, 1 Cd 2.96
Cd  0.0734  0.7500  0.1468  1 Li 2.70
Cd  0.9266  0.2500  0.8532  1 Li 2.70

energy relative to the lowest polymorph listed for this composition = 0 meV/atom
total magnetic moment = 0.0 μB per formula unit
energy of formation from the pure elements = -0.221 eV/atom
electronic total energy = -23.3 eV for the cell shown
space-group type = Cmcm, No. 63
volume = 275 Å³ per cell